[1]
! ZnFe2Cl PBE optimized geometry; values from VASP
! V, Å³ per atom: 15.48
! E, eV for the cell shown: -35.67
! Raw formation energy, meV/atom: 552
! Offset from the most stable computed form, meV per atom: 485
&SYSTEM
  ibrav = 0, nat = 8, ntyp = 3
/
ATOMIC_SPECIES
Fe 55.84 Fe.upf
Zn 65.41 Zn.upf
Cl 35.45 Cl.upf
CELL_PARAMETERS angstrom
-6.4178 1.4235 1.1542
-0.9919 -6.2328 2.1717
-3.0629 -1.6062 4.2476
ATOMIC_POSITIONS crystal
Fe 0.1509 0.6250 0.2500
Fe 0.8750 0.8491 0.7500
Fe 0.5991 0.1250 0.2500
Fe 0.3750 0.4009 0.7500
Zn 0.7500 0.2500 0.5000
Zn 0.0000 0.0000 0.0000
Cl 0.5000 0.5000 0.0000
Cl 0.2500 0.7500 0.5000


[2]
! CoRu PBE optimized geometry; values from VASP
! V, Å³ per atom: 12.82
! E, eV for the cell shown: -31.55
! ΔE_f, eV per formula unit: 0.61
&SYSTEM
  ibrav = 0, nat = 4, ntyp = 2
/
ATOMIC_SPECIES
Co 58.93 Co.upf
Ru 101.07 Ru.upf
CELL_PARAMETERS angstrom
-2.0402 -1.5883 0.2779
-0.0803 -1.1853 4.8026
-2.4287 3.2530 0.7623
ATOMIC_POSITIONS crystal
Co 0.1727 0.6547 0.7500
Co 0.8273 0.3453 0.2500
Ru 0.5710 0.8580 0.2500
Ru 0.4290 0.1420 0.7500


[3]
! MgSiSb2 PBE optimized geometry; values from VASP
! V, Å³ per atom: 24.24
! E, eV for the cell shown: -14.71
! Raw formation energy, meV/atom: 139
&SYSTEM
  ibrav = 0, nat = 4, ntyp = 3
/
ATOMIC_SPECIES
Sb 121.76 Sb.upf
Si 28.09 Si.upf
Mg 24.30 Mg.upf
CELL_PARAMETERS angstrom
6.4594 0.5344 -0.6900
5.0454 4.0686 -0.6900
1.8865 0.7548 3.8841
ATOMIC_POSITIONS crystal
Sb 0.4331 0.4331 0.5689
Sb 0.0669 0.0669 0.9311
Si 0.7500 0.7500 0.7500
Mg 0.2500 0.2500 0.2500


Question: Which value of V does entry 1 give?
Answer: 15.48 Å³ per atom


Question: What is the formula in the first record?
Answer: ZnFe2Cl


Question: Number 1 is which compound?
Answer: ZnFe2Cl